[1]
Compound: LuBeNF6
Source: Alexandria
Functional: PBE
Structure: optimized geometry

Computed properties:
Formation energy (no corrections) ... -2.568 eV/atom
E ... -5.66 eV/atom
Spin magnetization ... 0.000 μB/cell

```
data_LuBeNF6
_cell_length_a 4.933
_cell_length_b 6.844
_cell_length_c 6.741
_cell_angle_alpha 90.00
_cell_angle_beta 93.80
_cell_angle_gamma 90.00
_symmetry_space_group_name_H-M 'P 1 21/m 1'
_symmetry_Int_Tables_number 11
loop_
_symmetry_equiv_pos_as_xyz
'x,y,z'
'-x,-y,-z'
'-x,y+1/2,-z'
'x,-y+1/2,z'
loop_
_atom_site_label
_atom_site_type_symbol
_atom_site_fract_x
_atom_site_fract_y
_atom_site_fract_z
Lu1 Lu 0.243 0.250 0.272
Be1 Be 0.000 0.250 0.745
N1 N 0.274 0.750 0.710
F1 F 0.121 0.250 0.965
F2 F 0.170 0.557 0.292
F3 F 0.220 0.250 0.585
F4 F 0.360 0.587 0.845
```

[2]
Compound: LiCd2Si
Source: Alexandria
Functional: PBE
Structure: optimized geometry

Computed properties:
Formation energy (no corrections) ... 0.041 eV/atom
E ... -2.25 eV/atom
Spin magnetization ... 0.000 μB/cell

```
data_LiCd2Si
_cell_length_a 5.891
_cell_length_b 5.957
_cell_length_c 8.541
_cell_angle_alpha 90.00
_cell_angle_beta 90.00
_cell_angle_gamma 90.00
_symmetry_space_group_name_H-M 'F 2 2 2'
_symmetry_Int_Tables_number 22
_symmetry_space_group_name_Hall 'F 2 2'
loop_
_atom_site_label
_atom_site_type_symbol
_atom_site_fract_x
_atom_site_fract_y
_atom_site_fract_z
Li1 Li 0.000 0.000 0.000
Cd1 Cd 0.000 0.000 0.500
Cd2 Cd 0.250 0.250 0.750
Si1 Si 0.250 0.250 0.250
```